Here is KCd2GeTe after structural relaxation from the Alexandria database. Energies are from PBE.

POSCAR file:
```
KCd2GeTe
1.0
5.258 0.000 0.000
0.000 6.123 0.000
0.000 0.000 5.258
Ge Te K Cd
1 1 1 2
Cartesian
0.000 0.000 0.000
0.000 3.062 0.000
2.629 3.062 2.629
0.000 0.000 2.629
2.629 0.000 0.000
```

Calculated values
symmetry	P4/mmm
formation energy (no corrections)	-0.10	eV per atom



Here is K2CdGeTe4 after structural relaxation from the Alexandria database. Energies are from PBE.

POSCAR file:
```
K2CdGeTe4
1.0
-0.084 -0.193 7.475
9.615 -2.877 0.034
2.578 8.617 0.251
K Cd Ge Te
4 2 2 8
Cartesian
3.901 1.210 3.502
5.118 5.279 3.620
8.243 4.496 7.376
6.883 -0.052 7.243
2.569 3.710 7.506
8.210 -2.563 3.668
9.384 1.775 3.969
1.476 -0.444 0.082
1.112 -0.410 2.645
9.689 1.609 6.535
2.023 4.009 2.857
8.776 -2.815 6.498
8.525 4.259 3.454
3.477 0.966 7.053
4.841 5.525 7.186
7.311 0.201 3.336
```

Calculated values
symmetry	Pmn2_1
formation energy (no corrections)	-0.51	eV per atom



Here is KTlCdGe after structural relaxation from the Alexandria database. Energies are from PBE.

POSCAR file:
```
KTlCdGe
1.0
-5.224 1.151 0.176
-3.582 -3.917 0.686
-2.675 -0.402 4.618
K Tl Ge Cd
1 1 1 1
Cartesian
-2.870 -0.792 1.370
-5.740 -1.584 2.740
0.000 0.000 0.000
-8.610 -2.376 4.110
```

Calculated values
raw total energy	-8.59	eV for the cell shown
symmetry	F-43m



Here is La7Cd2Ge2 after structural relaxation from the Alexandria database. Energies are from PBE.

POSCAR file:
```
La7Cd2Ge2
1.0
6.826 -0.005 -0.955
0.002 7.996 0.005
-1.379 0.000 6.753
La Cd Ge
7 2 2
Cartesian
-0.688 2.500 3.381
3.417 5.493 -0.474
6.138 5.490 2.422
2.032 2.498 6.277
0.000 0.000 0.000
2.725 5.766 2.903
2.725 2.224 2.900
4.445 -0.002 1.282
1.004 7.993 4.521
4.565 3.994 4.860
0.885 3.997 0.943
```

Calculated values
raw total energy	-47.06	eV for the cell shown
symmetry	Cmmm



Here is La3Cd2Ge4 after structural relaxation from the Alexandria database. Energies are from PBE.

POSCAR file:
```
La3Cd2Ge4
1.0
-2.923 1.680 2.918
-2.654 -4.677 3.441
4.159 -0.749 8.006
La Cd Ge
3 2 4
Cartesian
0.291 -2.452 8.518
0.000 0.000 0.000
-1.709 -1.293 5.847
0.379 0.141 3.706
-1.797 -3.886 10.659
-1.644 -1.357 2.541
0.226 -2.388 11.823
1.644 -1.400 5.861
-3.062 -2.345 8.504
```

Calculated values
raw total energy	-40.61	eV for the cell shown
symmetry	C2/m



Here is LaCd3Ge3 after structural relaxation from the Alexandria database. Energies are from PBE.

POSCAR file:
```
LaCd3Ge3
1.0
-0.566 -7.186 -1.395
6.869 -1.005 2.391
-2.531 -1.120 6.801
Ge Cd La
6 6 2
Cartesian
-1.407 -2.357 3.052
2.802 -0.783 2.895
4.869 -4.347 1.096
-1.690 -5.950 2.354
1.537 -1.343 6.296
1.434 -3.845 -0.100
0.452 -0.811 3.998
3.887 -1.314 5.193
-2.181 -4.433 4.403
3.010 -5.893 0.149
-0.916 -3.873 1.003
3.293 -2.299 0.847
1.886 -4.656 3.898
0.000 0.000 0.000
```

Calculated values
raw total energy	-40.04	eV for the cell shown
symmetry	Pm-3n



Here is La3CdGe after structural relaxation from the Alexandria database. Energies are from PBE.

POSCAR file:
```
La3CdGe
1.0
5.768 0.000 0.000
0.000 5.768 0.000
0.000 0.000 5.768
Ge Cd La
1 1 3
Cartesian
0.000 0.000 0.000
2.884 2.884 2.884
0.000 2.884 0.000
0.000 0.000 2.884
2.884 0.000 0.000
```

Calculated values
ΔE to the lowest computed polymorph	291	meV/atom
symmetry	Pm-3m



Here is La3Cd2Ge after structural relaxation from the Alexandria database. Energies are from PBE.

POSCAR file:
```
La3Cd2Ge
1.0
5.431 -0.006 0.022
2.706 8.191 0.011
-0.031 0.000 7.794
La Cd Ge
6 4 2
Cartesian
5.405 2.866 6.029
2.708 -0.003 1.910
2.701 5.319 1.798
5.421 2.866 1.809
2.685 5.319 6.018
2.692 -0.003 5.906
0.000 0.000 0.000
-0.016 0.000 3.897
2.696 2.691 3.908
5.410 5.494 3.919
2.711 2.561 0.011
5.395 5.624 7.816
```

Calculated values
raw total energy	-48.23	eV for the cell shown
symmetry	P2/m



Here is La6CdGe2 after structural relaxation from the Alexandria database. Energies are from PBE.

POSCAR file:
```
La6CdGe2
1.0
-6.115 -2.371 6.261
0.308 -6.032 -6.763
8.268 0.288 3.712
La Cd Ge
12 2 4
Cartesian
3.670 -5.453 1.600
-1.210 -2.662 1.611
6.303 -1.644 1.827
-3.843 -6.471 1.383
-0.140 -6.245 1.980
2.600 -1.870 1.230
6.839 -4.710 -0.278
-4.379 -3.405 3.488
1.367 -3.721 4.364
1.094 -4.394 -1.154
4.022 -6.356 -2.195
-1.562 -1.759 5.406
4.288 -2.872 -1.525
0.000 0.000 0.000
4.344 -3.230 3.824
-1.884 -4.885 -0.614
1.412 -1.366 6.540
0.741 -0.717 3.433
```

Calculated values
raw total energy	-88.00	eV for the cell shown
symmetry	Immm



Here is LaCd2Ge2 after structural relaxation from the Alexandria database. Energies are from PBE.

POSCAR file:
```
LaCd2Ge2
1.0
-2.219 0.990 4.176
-4.145 -1.714 -1.797
-1.982 -5.112 2.953
Ge Cd La
2 2 1
Cartesian
-3.692 -2.242 4.159
-4.654 -3.594 1.173
-2.873 -1.585 1.644
-5.473 -4.251 3.689
0.000 0.000 0.000
```

Calculated values
ΔE to the lowest computed polymorph	138	meV/atom
symmetry	I4/mmm



Here is LaCdGe2 after structural relaxation from the Alexandria database. Energies are from PBE.

POSCAR file:
```
LaCdGe2
1.0
-3.042 -2.968 -1.860
1.069 -2.278 -3.897
1.361 -5.563 0.865
Ge Cd La
2 1 1
Cartesian
-0.292 -2.439 -1.415
-0.320 -8.369 -3.477
0.000 0.000 0.000
-0.306 -5.404 -2.446
```

Calculated values
raw total energy	-16.46	eV for the cell shown
symmetry	R-3m



Here is LaCdGe2 after structural relaxation from the Alexandria database. Energies are from PBE.

POSCAR file:
```
LaCdGe2
1.0
-0.165 2.864 -3.183
-2.766 -2.857 -2.427
-3.745 1.961 1.958
Ge Cd La
2 1 1
Cartesian
-1.872 0.980 0.979
-1.383 -1.428 -1.214
-0.082 1.432 -1.592
-3.338 0.984 -1.826
```

Calculated values
raw total energy	-16.81	eV for the cell shown
symmetry	P4/mmm



Listing Fermi-level density of states for the structures above in their given order: 0.407 0.045 0.437 1.319 0.474 0.628 1.594 0.823 1.197 0.432 0.487 0.460 states/eV/atom.